Record 1
Entry from Alexandria: a relaxed structure of Rb2BaReBr6 (PBE-GGA).

Cell lengths 8.046, 8.046, 8.046 Å; angles 60.00, 60.00, 90.00 degrees
Fractional coordinates of all 10 atoms:
Re1 0.000 0.000 0.000
Br1 0.226 0.226 0.549
Br2 0.774 0.774 0.451
Br3 0.226 0.226 0.000
Br4 0.774 0.774 0.000
Br5 0.774 0.226 0.000
Br6 0.226 0.774 0.000
Ba1 0.500 0.500 0.000
Rb1 0.750 0.250 0.500
Rb2 0.250 0.750 0.500

Summary:
total magnetic moment = 0.10 μB/atom
energy relative to the elements, uncorrected = -1093 meV per atom
space-group type = Fm-3m
raw total energy = -3.727 eV per atom

=====

Record 2
Entry from Alexandria: a relaxed structure of Be2Co2Re (PBE-GGA).

Cell lengths 6.384, 6.384, 2.544 Å; angles 90.00, 90.00, 90.00 degrees
Fractional coordinates of all 10 atoms:
Re1 0.000 0.000 0.000
Re2 0.500 0.500 0.000
Co1 0.369 0.869 0.000
Co2 0.869 0.631 0.000
Co3 0.631 0.131 0.000
Co4 0.131 0.369 0.000
Be1 0.165 0.665 0.500
Be2 0.665 0.835 0.500
Be3 0.835 0.335 0.500
Be4 0.335 0.165 0.500

Summary:
total magnetic moment = 0.00 μB/atom
ΔE_f = 0.030 eV/atom
space-group type = P4/mbm
raw total energy = -6.793 eV per atom
energy above the most stable polymorph in this dataset = 199 meV/atom

=====

Record 3
Entry from Alexandria: a relaxed structure of NbSi3N (PBE-GGA).

Cell lengths 4.015, 4.015, 4.015 Å; angles 90.00, 90.00, 90.00 degrees
Fractional coordinates of all 5 atoms:
Nb1 0.500 0.500 0.500
Si1 0.000 0.500 0.000
Si2 0.000 0.000 0.500
Si3 0.500 0.000 0.000
N1 0.000 0.000 0.000

Summary:
total magnetic moment = 0.00 μB/atom
energy relative to the elements, uncorrected = 338 meV per atom
space-group type = Pm-3m
raw total energy = -6.595 eV per atom
energy above the most stable polymorph in this dataset = 0 meV/atom